Record 1
# CeHoCd17

An optimized crystal structure of CeHoCd17 (PBE-GGA, the Alexandria database).

Lattice parameters (Å, degrees): 7.664 7.664 7.664 82.03 82.03 82.03
Fractional coordinates of all 19 atoms:
Ce  0.000  0.000  0.000
Ho  0.659  0.659  0.659
Cd  0.029  0.336  0.633
Cd  0.029  0.633  0.336
Cd  0.209  0.680  0.680
Cd  0.241  0.241  0.241
Cd  0.311  0.311  0.858
Cd  0.311  0.858  0.311
Cd  0.336  0.029  0.633
Cd  0.336  0.633  0.029
Cd  0.438  0.438  0.438
Cd  0.539  0.956  0.956
Cd  0.633  0.029  0.336
Cd  0.633  0.336  0.029
Cd  0.680  0.209  0.680
Cd  0.680  0.680  0.209
Cd  0.858  0.311  0.311
Cd  0.956  0.539  0.956
Cd  0.956  0.956  0.539

Summary:
The value obtained for the total magnetization is 1.1 Bohr magnetons per cell. The energy of formation from the pure elements comes out at -106 meV/atom. The theoretical density comes out at 8.40 g cm⁻³. The density of states at the Fermi level comes out at 0.6854 states/eV/atom.


Record 2
# RbAg3C

An optimized crystal structure of RbAg3C (PBE-GGA, the Alexandria database).

Lattice parameters (Å, degrees): 4.636 4.636 4.636 90.00 90.00 90.00
Fractional coordinates of all 5 atoms:
Rb  0.000  0.000  0.000
Ag  0.000  0.500  0.500
Ag  0.500  0.000  0.500
Ag  0.500  0.500  0.000
C  0.500  0.500  0.500

Summary:
The value obtained for the total magnetization is 0.0 Bohr magnetons per cell. Its polymorph energy (0 for the lowest one) is 0 kJ/mol of formula units. The energy of formation from the pure elements comes out at 708 meV/atom. The theoretical density comes out at 7.02 g cm⁻³. The density of states at the Fermi level comes out at 0.0010 states/eV/atom.